(1)
AsRuSe2 | PBE | relaxed

The structure belongs to space group Immm (No. 71); the cell edges are 3.610, 3.889 and 12.671 Å and the angles 90.00°, 90.00° and 90.00°. Symmetry generates all atoms from As at (0.000, 0.000, 0.000), Ru at (0.000, 0.000, 0.500) and Se at (0.000, 0.500, 0.146).

The raw formation energy is 0.1093 eV per atom.

=====

(2)
AsRuSe2 | PBE | relaxed

The structure belongs to space group C2/m (No. 12); the cell edges are 6.899, 3.017 and 8.580 Å and the angles 90.00°, 105.98° and 90.00°. Symmetry generates all atoms from As at (0.000, 0.000, 0.000), Ru at (0.000, 0.500, 0.500) and Se at (0.145, 0.000, 0.326).

The raw formation energy is 0.0775 eV per atom.